DFT (PBE-GGA) results for an optimized crystal structure of KNaCdHg.

The crystal system is monoclinic. The calculation puts the formation enthalpy at 0 K at -0.140 eV/atom. As for the magnetization: 0.0 μB/f.u. The space-group type is No. 8. For the offset from the most stable computed form, the calculation gives 0.0 meV per atom.

abc: 5.200 5.200 6.746
angles: 89.71 112.95 120.04
Positions (direct):
K 0.397 0.062 0.459
Na 0.002 0.866 0.869
Cd 0.816 0.273 0.089
Hg 0.477 0.603 0.080

---

DFT (PBE-GGA) results for an optimized crystal structure of KNa2CdHg4.

The crystal system is trigonal. The calculation puts the formation enthalpy at 0 K at -0.186 eV/atom. As for the magnetization: 0.0 μB/f.u. The space-group type is No. 166.

abc: 5.288 5.288 10.040
angles: 74.73 74.73 60.00
Positions (direct):
K 0.000 0.000 0.000
Na 0.765 0.765 0.705
Na 0.235 0.235 0.295
Cd 0.500 0.500 0.500
Hg 0.395 0.395 0.814
Hg 0.876 0.876 0.371
Hg 0.124 0.124 0.629
Hg 0.605 0.605 0.186

---

DFT (PBE-GGA) results for an optimized crystal structure of KNa5CdHg2.

The crystal system is tetragonal. The calculation puts the formation enthalpy at 0 K at -0.035 eV/atom. As for the magnetization: 0.0 μB/f.u. The space-group type is No. 123.

abc: 5.681 5.681 11.513
angles: 90.00 90.00 90.00
Positions (direct):
K 0.500 0.500 0.500
Na 0.000 0.000 0.500
Na 0.000 0.500 0.844
Na 0.500 0.000 0.156
Na 0.000 0.500 0.156
Na 0.500 0.000 0.844
Cd 0.000 0.000 0.000
Hg 0.000 0.000 0.252
Hg 0.000 0.000 0.748

---

DFT (PBE-GGA) results for an optimized crystal structure of K3Na2Cd2Hg4.

The crystal system is trigonal. The calculation puts the formation enthalpy at 0 K at -0.150 eV/atom. As for the magnetization: 0.0 μB/f.u. The space-group type is No. 164.

abc: 5.381 5.381 14.942
angles: 90.00 90.00 120.00
Positions (direct):
K 0.000 0.000 0.737
K 0.000 0.000 0.000
K 0.000 0.000 0.263
Na 0.667 0.333 0.430
Na 0.333 0.667 0.570
Cd 0.667 0.333 0.865
Cd 0.333 0.667 0.135
Hg 0.667 0.333 0.128
Hg 0.333 0.667 0.872
Hg 0.667 0.333 0.641
Hg 0.333 0.667 0.359